(one)
A plane-wave DFT calculation with PBE was carried out for crystalline SrPtSeO at its relaxed geometry.

Results
**SG**: Pbca, No. 61
**Total magnetic moment**: 0.00 μB per atom

a b c (Å): 6.263 6.703 14.844
angles (deg): 90.00 90.00 90.00
Fractional coordinates of all 32 atoms:
Se 0.712 0.998 0.073
Se 0.788 0.002 0.573
Se 0.712 0.502 0.573
Se 0.788 0.498 0.073
Se 0.288 0.498 0.427
Se 0.288 0.002 0.927
Se 0.212 0.502 0.927
Se 0.212 0.998 0.427
O 0.496 0.290 0.253
O 0.996 0.290 0.247
O 0.996 0.210 0.747
O 0.004 0.790 0.253
O 0.496 0.210 0.753
O 0.004 0.710 0.753
O 0.504 0.790 0.247
O 0.504 0.710 0.747
Sr 0.253 0.540 0.195
Sr 0.747 0.040 0.305
Sr 0.253 0.960 0.695
Sr 0.747 0.460 0.805
Sr 0.753 0.960 0.805
Sr 0.247 0.040 0.195
Sr 0.247 0.460 0.695
Sr 0.753 0.540 0.305
Pt 0.000 0.780 0.001
Pt 0.500 0.220 0.501
Pt 0.000 0.220 0.999
Pt 0.000 0.720 0.501
Pt 0.500 0.780 0.499
Pt 0.500 0.720 0.999
Pt 0.000 0.280 0.499
Pt 0.500 0.280 0.001


(two)
A plane-wave DFT calculation with PBE was carried out for crystalline SrPtSeO at its relaxed geometry.

Results
**SG**: Pca2_1, No. 29
**Total magnetic moment**: 0.00 μB per atom

a b c (Å): 7.082 8.045 6.234
angles (deg): 90.00 90.00 90.00
Fractional coordinates of all 16 atoms:
Sr 0.555 0.279 0.475
Sr 0.445 0.721 0.975
Sr 0.055 0.721 0.475
Sr 0.945 0.279 0.975
Se 0.501 0.663 0.479
Se 0.999 0.663 0.979
Se 0.499 0.337 0.979
Se 0.001 0.337 0.479
O 0.916 0.005 0.690
O 0.084 0.995 0.190
O 0.416 0.995 0.690
O 0.584 0.005 0.190
Pt 0.326 0.089 0.106
Pt 0.174 0.089 0.606
Pt 0.826 0.911 0.106
Pt 0.674 0.911 0.606


(three)
A plane-wave DFT calculation with PBE was carried out for crystalline SrPtSeO at its relaxed geometry.

Results
**SG**: P2_12_12_1, No. 19
**Total magnetic moment**: 0.00 μB per atom

a b c (Å): 4.938 10.354 6.609
angles (deg): 90.00 90.00 90.00
Fractional coordinates of all 16 atoms:
O 0.261 0.348 0.039
O 0.739 0.848 0.461
O 0.761 0.152 0.961
O 0.239 0.652 0.539
Se 0.260 0.602 0.810
Se 0.760 0.898 0.190
Se 0.240 0.398 0.310
Se 0.740 0.102 0.690
Pt 0.135 0.785 0.042
Pt 0.365 0.215 0.542
Pt 0.865 0.285 0.458
Pt 0.635 0.715 0.958
Sr 0.765 0.385 0.933
Sr 0.265 0.115 0.067
Sr 0.235 0.885 0.567
Sr 0.735 0.615 0.433


Which structure loses on stability? (two) does.


(one)
A plane-wave DFT calculation with PBE was carried out for crystalline SrPtSeO at its relaxed geometry.

Results
**SG**: Pca2_1, No. 29
**Total magnetic moment**: 0.00 μB per atom

a b c (Å): 7.119 7.814 5.990
angles (deg): 90.00 90.00 90.00
Fractional coordinates of all 16 atoms:
O 0.090 0.103 0.085
O 0.590 0.897 0.085
O 0.410 0.103 0.585
O 0.910 0.897 0.585
Pt 0.592 0.292 0.500
Pt 0.408 0.708 0.000
Pt 0.908 0.292 0.000
Pt 0.092 0.708 0.500
Sr 0.579 0.844 0.492
Sr 0.421 0.156 0.992
Sr 0.079 0.156 0.492
Sr 0.921 0.844 0.992
Se 0.165 0.532 0.173
Se 0.335 0.532 0.673
Se 0.835 0.468 0.673
Se 0.665 0.468 0.173


(two)
A plane-wave DFT calculation with PBE was carried out for crystalline SrPtSeO at its relaxed geometry.

Results
**SG**: P4/nmm, No. 129
**Total magnetic moment**: 0.00 μB per atom

a b c (Å): 5.901 5.901 6.407
angles (deg): 90.00 90.00 90.00
Fractional coordinates of all 8 atoms:
Se 0.750 0.750 0.818
Se 0.250 0.250 0.182
Sr 0.250 0.750 0.000
Sr 0.750 0.250 0.000
O 0.750 0.750 0.489
O 0.250 0.250 0.511
Pt 0.250 0.250 0.802
Pt 0.750 0.750 0.198


(three)
A plane-wave DFT calculation with PBE was carried out for crystalline SrPtSeO at its relaxed geometry.

Results
**SG**: P4/nmm, No. 129
**Total magnetic moment**: 0.00 μB per atom

a b c (Å): 4.257 4.257 9.071
angles (deg): 90.00 90.00 90.00
Fractional coordinates of all 8 atoms:
Sr 0.750 0.750 0.208
Sr 0.250 0.250 0.792
Se 0.750 0.750 0.855
Se 0.250 0.250 0.145
Pt 0.250 0.250 0.435
Pt 0.750 0.750 0.565
O 0.750 0.250 0.500
O 0.250 0.750 0.500


Which structure loses on stability? (two) does.


(one)
A plane-wave DFT calculation with PBE was carried out for crystalline SrPtSeO at its relaxed geometry.

Results
**SG**: P4/nmm, No. 129
**Total magnetic moment**: 0.01 μB per atom

a b c (Å): 3.902 3.902 10.228
angles (deg): 90.00 90.00 90.00
Fractional coordinates of all 8 atoms:
Se 0.750 0.750 0.835
Se 0.250 0.250 0.165
Pt 0.250 0.750 0.000
Pt 0.750 0.250 0.000
Sr 0.750 0.750 0.369
Sr 0.250 0.250 0.631
O 0.750 0.750 0.599
O 0.250 0.250 0.401


(two)
A plane-wave DFT calculation with PBE was carried out for crystalline SrPtSeO at its relaxed geometry.

Results
**SG**: P4/nmm, No. 129
**Total magnetic moment**: 0.00 μB per atom

a b c (Å): 4.146 4.146 9.280
angles (deg): 90.00 90.00 90.00
Fractional coordinates of all 8 atoms:
Se 0.750 0.250 0.500
Se 0.250 0.750 0.500
Pt 0.750 0.750 0.331
Pt 0.250 0.250 0.669
Sr 0.750 0.750 0.854
Sr 0.250 0.250 0.146
O 0.250 0.250 0.894
O 0.750 0.750 0.106


Which structure loses on stability? (two) does.


(one)
A plane-wave DFT calculation with PBE was carried out for crystalline Sr2Pt2O5 at its relaxed geometry.

Results
**SG**: P4/mmm, No. 123
**Total magnetic moment**: 0.00 μB per atom

a b c (Å): 7.130 4.036 4.036
angles (deg): 90.00 90.00 90.00
Fractional coordinates of all 9 atoms:
Sr 0.000 0.000 0.000
Sr 0.500 0.000 0.000
O 0.761 0.000 0.500
O 0.761 0.500 0.000
O 0.500 0.500 0.500
O 0.239 0.500 0.000
O 0.239 0.000 0.500
Pt 0.808 0.500 0.500
Pt 0.192 0.500 0.500


(two)
A plane-wave DFT calculation with PBE was carried out for crystalline Sr2Pt2O5 at its relaxed geometry.

Results
**SG**: P4/mmm, No. 123
**Total magnetic moment**: 0.05 μB per atom

a b c (Å): 10.160 3.581 3.581
angles (deg): 90.00 90.00 90.00
Fractional coordinates of all 9 atoms:
Sr 0.266 0.500 0.500
Sr 0.734 0.500 0.500
Pt 0.500 0.000 0.000
Pt 0.000 0.000 0.000
O 0.887 0.000 0.500
O 0.113 0.500 0.000
O 0.113 0.000 0.500
O 0.500 0.500 0.500
O 0.887 0.500 0.000


Which structure loses on stability? (two) does.


(one)
A plane-wave DFT calculation with PBE was carried out for crystalline Te2Pt2O5 at its relaxed geometry.

Results
**SG**: P4/mmm, No. 123
**Total magnetic moment**: 0.07 μB per atom

a b c (Å): 8.316 3.845 3.845
angles (deg): 90.00 90.00 90.00
Fractional coordinates of all 9 atoms:
O 0.306 0.000 0.500
O 0.306 0.500 0.000
O 0.500 0.500 0.500
O 0.694 0.500 0.000
O 0.694 0.000 0.500
Te 0.500 0.000 0.000
Te 0.000 0.000 0.000
Pt 0.240 0.500 0.500
Pt 0.760 0.500 0.500


(two)
A plane-wave DFT calculation with PBE was carried out for crystalline Te2Pt2O5 at its relaxed geometry.

Results
**SG**: P4/mmm, No. 123
**Total magnetic moment**: 0.13 μB per atom

a b c (Å): 7.181 4.078 4.078
angles (deg): 90.00 90.00 90.00
Fractional coordinates of all 9 atoms:
O 0.691 0.000 0.500
O 0.500 0.500 0.500
O 0.691 0.500 0.000
O 0.309 0.500 0.000
O 0.309 0.000 0.500
Te 0.231 0.500 0.500
Te 0.769 0.500 0.500
Pt 0.500 0.000 0.000
Pt 0.000 0.000 0.000


Which structure loses on stability? (two) does.


(one)
A plane-wave DFT calculation with PBE was carried out for crystalline Zr2Pt2O5 at its relaxed geometry.

Results
**SG**: P4/mmm, No. 123
**Total magnetic moment**: 0.00 μB per atom

a b c (Å): 8.055 3.594 3.594
angles (deg): 90.00 90.00 90.00
Fractional coordinates of all 9 atoms:
Pt 0.159 0.500 0.500
Pt 0.841 0.500 0.500
O 0.692 0.000 0.500
O 0.500 0.500 0.500
O 0.692 0.500 0.000
O 0.308 0.000 0.500
O 0.308 0.500 0.000
Zr 0.000 0.000 0.000
Zr 0.500 0.000 0.000


(two)
A plane-wave DFT calculation with PBE was carried out for crystalline Zr2Pt2O5 at its relaxed geometry.

Results
**SG**: P4/mmm, No. 123
**Total magnetic moment**: 0.23 μB per atom

a b c (Å): 8.595 3.786 3.786
angles (deg): 90.00 90.00 90.00
Fractional coordinates of all 9 atoms:
Pt 0.500 0.000 0.000
Pt 0.000 0.000 0.000
O 0.838 0.500 0.000
O 0.500 0.500 0.500
O 0.162 0.000 0.500
O 0.162 0.500 0.000
O 0.838 0.000 0.500
Zr 0.735 0.500 0.500
Zr 0.265 0.500 0.500


Which structure loses on stability? (one) does.


(one)
A plane-wave DFT calculation with PBE was carried out for crystalline RbTmSO at its relaxed geometry.

Results
**SG**: P2_1/c, No. 14
**Total magnetic moment**: 0.00 μB per atom

a b c (Å): 6.433 7.225 7.822
angles (deg): 90.00 104.08 90.00
Fractional coordinates of all 16 atoms:
O 0.623 0.855 0.602
O 0.877 0.355 0.398
O 0.123 0.645 0.602
O 0.377 0.145 0.398
Rb 0.507 0.241 0.081
Rb 0.493 0.759 0.919
Rb 0.993 0.741 0.919
Rb 0.007 0.259 0.081
S 0.353 0.595 0.265
S 0.147 0.095 0.735
S 0.647 0.405 0.735
S 0.853 0.905 0.265
Tm 0.226 0.373 0.521
Tm 0.774 0.627 0.479
Tm 0.726 0.127 0.521
Tm 0.274 0.873 0.479


(two)
A plane-wave DFT calculation with PBE was carried out for crystalline RbTmSO at its relaxed geometry.

Results
**SG**: P-3m1, No. 164
**Total magnetic moment**: 0.00 μB per atom

a b c (Å): 3.675 3.675 14.227
angles (deg): 90.00 90.00 120.00
Fractional coordinates of all 8 atoms:
S 0.333 0.667 0.389
S 0.667 0.333 0.611
Tm 0.000 0.000 0.000
Tm 0.000 0.000 0.500
O 0.333 0.667 0.074
O 0.667 0.333 0.926
Rb 0.667 0.333 0.220
Rb 0.333 0.667 0.780


Which structure loses on stability? (two) does.


(one)
A plane-wave DFT calculation with PBE was carried out for crystalline RbTmSO at its relaxed geometry.

Results
**SG**: Pbcm, No. 57
**Total magnetic moment**: 0.00 μB per atom

a b c (Å): 8.364 9.195 5.458
angles (deg): 90.00 90.00 90.00
Fractional coordinates of all 16 atoms:
Tm 0.430 0.638 0.063
Tm 0.930 0.362 0.063
Tm 0.570 0.362 0.563
Tm 0.070 0.638 0.563
O 0.036 0.173 0.062
O 0.464 0.173 0.562
O 0.536 0.827 0.062
O 0.964 0.827 0.562
S 0.895 0.393 0.563
S 0.395 0.607 0.563
S 0.605 0.393 0.063
S 0.105 0.607 0.063
Rb 0.881 0.900 0.062
Rb 0.619 0.900 0.562
Rb 0.381 0.100 0.062
Rb 0.119 0.100 0.562


(two)
A plane-wave DFT calculation with PBE was carried out for crystalline RbTmSO at its relaxed geometry.

Results
**SG**: P6_3mc, No. 186
**Total magnetic moment**: 0.00 μB per atom

a b c (Å): 3.671 3.671 14.266
angles (deg): 90.00 90.00 120.00
Fractional coordinates of all 8 atoms:
Rb 0.667 0.333 0.242
Rb 0.333 0.667 0.742
Tm 0.000 0.000 0.018
Tm 0.000 0.000 0.518
S 0.667 0.333 0.904
S 0.333 0.667 0.404
O 0.333 0.667 0.086
O 0.667 0.333 0.586


Which structure loses on stability? (one) does.


(one)
A plane-wave DFT calculation with PBE was carried out for crystalline Rb2Tc2O5 at its relaxed geometry.

Results
**SG**: P4/mmm, No. 123
**Total magnetic moment**: 0.44 μB per atom

a b c (Å): 12.339 3.318 3.318
angles (deg): 90.00 90.00 90.00
Fractional coordinates of all 9 atoms:
Tc 0.000 0.000 0.000
Tc 0.500 0.000 0.000
O 0.094 0.500 0.000
O 0.906 0.000 0.500
O 0.500 0.500 0.500
O 0.906 0.500 0.000
O 0.094 0.000 0.500
Rb 0.263 0.500 0.500
Rb 0.737 0.500 0.500


(two)
A plane-wave DFT calculation with PBE was carried out for crystalline Rb2Tc2O5 at its relaxed geometry.

Results
**SG**: Cm, No. 8
**Total magnetic moment**: 0.00 μB per atom

a b c (Å): 5.241 5.241 6.704
angles (deg): 67.85 67.85 63.77
Fractional coordinates of all 9 atoms:
Rb 0.373 0.373 0.877
Rb 0.630 0.630 0.118
O 0.066 0.564 0.300
O 0.929 0.929 0.711
O 0.936 0.437 0.694
O 0.564 0.066 0.300
O 0.437 0.936 0.694
Tc 0.835 0.835 0.499
Tc 0.164 0.164 0.504


(three)
A plane-wave DFT calculation with PBE was carried out for crystalline Rb2Tc2O5 at its relaxed geometry.

Results
**SG**: P4/mmm, No. 123
**Total magnetic moment**: 0.04 μB per atom

a b c (Å): 8.752 3.886 3.886
angles (deg): 90.00 90.00 90.00
Fractional coordinates of all 9 atoms:
Tc 0.729 0.500 0.500
Tc 0.271 0.500 0.500
O 0.500 0.500 0.500
O 0.249 0.000 0.500
O 0.751 0.000 0.500
O 0.751 0.500 0.000
O 0.249 0.500 0.000
Rb 0.000 0.000 0.000
Rb 0.500 0.000 0.000


Which structure loses on stability? (one) does.